LaYIr2: relaxed, PBE.

a b c (Å): 4.946 4.946 3.558
angles (deg): 90.00 90.00 93.55
Fractional coordinates of all 4 atoms:
Ir: 0.000 0.000 0.000
Ir: 0.500 0.500 0.000
La: 0.500 0.000 0.500
Y: 0.000 0.500 0.500

E_form = -2.58 eV/f.u.
polymorph energy (0 for the lowest one) = 0.016 eV per atom
electronic total energy = -31.7 eV/f.u.